This record from the Alexandria database describes a PBEsol-optimized structure of InTe2RuI. The functional is meta-GGA SCAN.

Values from the calculation:
DFT total energy   -178.18 eV per formula unit
Magnetization   0.00 μB/f.u.
Raw formation energy   0.255 eV/atom

a b c (Å): 5.0940 5.0940 5.6972
angles (deg): 90.00 90.00 90.00
Positions (direct):
1 Te 0.0000 0.5000 0.0000
2 In 0.5000 0.5000 0.5000
3 Ru 0.0000 0.0000 0.0000
4 I 0.0000 0.0000 0.5000
5 Te 0.5000 0.0000 0.0000

This record from the Alexandria database describes a PBEsol-optimized structure of InS3I. The functional is meta-GGA SCAN.

Values from the calculation:
DFT total energy   -96.18 eV per formula unit
Magnetization   0.00 μB/f.u.
Raw formation energy   0.566 eV/atom

a b c (Å): 4.9565 4.9565 4.9565
angles (deg): 90.00 90.00 90.00
Positions (direct):
1 In 0.0000 0.0000 0.0000
2 I 0.5000 0.5000 0.5000
3 S 0.0000 0.0000 0.5000
4 S 0.5000 0.0000 0.0000
5 S 0.0000 0.5000 0.0000